No. 1
Compound: Pt2Pb
Source: Alexandria via LeMat-Bulk
Functional: meta-GGA SCAN
Structure: single point on PBEsol structure

a = 3.7976 Å, b = 5.5699 Å, c = 6.0610 Å
α = 111.04°, β = 108.26°, γ = 90.00°
Positions (direct):
Pt 0.9787 0.2365 0.9574
Pt 0.6258 0.1566 0.2517
Pb 0.3196 0.3165 0.6392
Pt 0.0213 0.7635 0.0426
Pt 0.3742 0.8434 0.7483
Pb 0.6804 0.6835 0.3608

Computed properties:
V ... 18.786 A^3/atom
DOS(E_F) ... 1.62 states/eV/f.u.
Formation energy ... -0.030 eV/atom



No. 2
Compound: Hg2SbF6
Source: Alexandria via LeMat-Bulk
Functional: meta-GGA SCAN
Structure: single point on PBEsol structure

a = 5.7845 Å, b = 5.7845 Å, c = 9.8905 Å
α = 106.93°, β = 106.93°, γ = 90.00°
Positions (direct):
Hg 0.0000 0.0000 0.5000
F 0.1417 0.3909 0.7500
Hg 0.0000 0.0000 0.0000
F 0.8584 0.1416 0.2500
F 0.6090 0.3910 0.7500
F 0.6091 0.8583 0.7500
F 0.7302 0.4805 0.4613
Hg 0.0000 0.5000 0.0000
F 0.2698 0.5195 0.5387
Sb 0.3753 0.6247 0.7500
F 0.3909 0.1417 0.2500
F 0.5195 0.2698 0.0387
Hg 0.5000 0.0000 0.5000
Sb 0.6247 0.3753 0.2500
F 0.1416 0.8584 0.7500
F 0.4805 0.7302 0.9613
F 0.8583 0.6091 0.2500
F 0.3910 0.6090 0.2500

Computed properties:
Uncorrected formation energy ... -17.1 eV per formula unit
V ... 16.753 A^3/atom
DOS(E_F) ... 0.94 states/eV/f.u.



No. 3
Compound: TiFeB3
Source: Alexandria via LeMat-Bulk
Functional: meta-GGA SCAN
Structure: single point on PBEsol structure

a = 3.6532 Å, b = 3.6532 Å, c = 3.6532 Å
α = 90.00°, β = 90.00°, γ = 90.00°
Each line ends with the local moment (μB).
Positions (direct):
Fe 0.0000 0.0000 0.0000  0.37
B 0.0000 0.5000 0.0000  -0.03
B 0.0000 0.0000 0.5000  -0.03
Ti 0.5000 0.5000 0.5000  0.32
B 0.5000 0.0000 0.0000  -0.03

Computed properties:
V ... 9.751 A^3/atom
DOS(E_F) ... 2.97 states/eV/f.u.
Formation energy ... 0.362 eV/atom